! ZrS2N | the Alexandria database | PBE-GGA | optimized geometry; values from VASP
! Energy relative to the elements, uncorrected, eV/atom: -0.13
! D(E_F), states/eV per cell: 2.42
&SYSTEM
  ibrav = 0, nat = 4, ntyp = 3
/
ATOMIC_SPECIES
S 32.06 S.upf
N 14.01 N.upf
Zr 91.22 Zr.upf
CELL_PARAMETERS angstrom
-6.541 -1.049 -0.947
-6.178 -0.457 2.530
-6.288 2.272 0.269
ATOMIC_POSITIONS crystal
S 0.917 0.917 0.917
S 0.083 0.083 0.083
N 0.000 0.000 0.000
Zr 0.500 0.500 0.500